Below is a crystal of SrFeSe2 relaxed with PBEsol, with properties calculated at the SCAN level.

Cell lengths 3.555, 3.769, 7.219 Å; angles 105.13, 104.25, 90.00 degrees
Fractional positions:
Fe1 0.702 0.202 0.404
Se1 0.067 0.067 0.135
Se2 0.276 0.776 0.551
Sr1 0.455 0.455 0.911

Properties
SG   Imm2, No. 44
Raw total energy   -84.2 eV per formula unit